# MgCdTeN2

An optimized crystal structure of MgCdTeN2 (PBE, Alexandria).

a = 4.2957 Å, b = 4.2957 Å, c = 6.3455 Å
α = 90.00°, β = 90.00°, γ = 90.00°
Last column: nearest neighbours and their distance in Å.
Sites, in units of the cell vectors:
N: 0.0000 0.5000 0.0000  2 Cd 2.15
N: 0.5000 0.0000 0.0000  2 Cd 2.15
Mg: 0.5000 0.5000 0.5000  4 Te 3.04
Te: 0.0000 0.0000 0.5000  4 Mg 3.04, 2 Cd 3.17
Cd: 0.0000 0.0000 0.0000  4 N 2.15

Calculated values
Total magnetization ... 3.55 Bohr magnetons per cell
Symmetry ... P4/mmm (123)
Total DFT energy (no corrections) ... -15.690 eV/cell

# Ca3Mg

An optimized crystal structure of Ca3Mg (PBE, Alexandria).

a = 4.0401 Å, b = 5.9665 Å, c = 6.0645 Å
α = 90.00°, β = 90.00°, γ = 90.00°
Last column: nearest neighbours and their distance in Å.
Sites, in units of the cell vectors:
Ca: 0.0000 0.0000 0.9655  8 Ca 3.60-3.69, 2 Mg 3.86
Ca: 0.5000 0.0000 0.4559  6 Ca 3.60-3.92, 4 Mg 3.64
Ca: 0.5000 0.5000 0.8751  4 Mg 3.62-3.67, 8 Ca 3.64-4.04
Mg: 0.0000 0.5000 0.3703  10 Ca 3.62-3.86, 2 Mg 4.04

Calculated values
Total magnetization ... 0.00 Bohr magnetons per cell
Formation enthalpy at 0 K ... 0.0154 eV/atom
Symmetry ... Pmm2 (25)

# Dy3Y4Ho

An optimized crystal structure of Dy3Y4Ho (PBE, Alexandria).

a = 6.2930 Å, b = 7.2808 Å, c = 11.2561 Å
α = 90.00°, β = 90.00°, γ = 90.00°
Last column: nearest neighbours and their distance in Å.
Sites, in units of the cell vectors:
Dy: 0.6491 0.6235 0.0000  4 Dy 3.50-3.51, 6 Y 3.51-3.66, 2 Ho 3.62-3.63
Dy: 0.9795 0.6236 0.2499  4 Dy 3.50-3.62, 2 Ho 3.50-3.51, 6 Y 3.51-3.66
Dy: 0.4795 0.3764 0.2501  4 Dy 3.50-3.62, 2 Ho 3.50-3.51, 6 Y 3.51-3.66
Dy: 0.1491 0.3765 0.5000  4 Dy 3.50-3.51, 6 Y 3.51-3.66, 2 Ho 3.62-3.63
Dy: 0.4795 0.3764 0.7499  4 Dy 3.50-3.62, 2 Ho 3.50-3.51, 6 Y 3.51-3.66
Dy: 0.9795 0.6236 0.7501  4 Dy 3.50-3.62, 2 Ho 3.50-3.51, 6 Y 3.51-3.66
Y: 0.1462 0.8739 0.0000  4 Dy 3.51-3.65, 6 Y 3.51-3.64, 2 Ho 3.62-3.66
Y: 0.6463 0.1264 0.0000  4 Dy 3.51-3.66, 6 Y 3.52-3.64, 2 Ho 3.62-3.65
Y: 0.9826 0.1263 0.2500  1 Ho 3.51, 5 Dy 3.51-3.66, 6 Y 3.51-3.64
Y: 0.4826 0.8737 0.2500  1 Ho 3.51, 5 Dy 3.51-3.66, 6 Y 3.51-3.64
Y: 0.1463 0.8736 0.5000  4 Dy 3.51-3.66, 6 Y 3.52-3.64, 2 Ho 3.62-3.65
Y: 0.6462 0.1261 0.5000  4 Dy 3.51-3.65, 6 Y 3.51-3.64, 2 Ho 3.62-3.66
Y: 0.4826 0.8737 0.7500  1 Ho 3.51, 5 Dy 3.51-3.66, 6 Y 3.51-3.64
Y: 0.9826 0.1263 0.7500  1 Ho 3.51, 5 Dy 3.51-3.66, 6 Y 3.51-3.64
Ho: 0.1494 0.3761 0.0000  6 Dy 3.50-3.63, 6 Y 3.51-3.66
Ho: 0.6494 0.6239 0.5000  6 Dy 3.50-3.63, 6 Y 3.51-3.66

Calculated values
Total magnetization ... 0.00 Bohr magnetons per cell
Formation enthalpy at 0 K ... 0.0027 eV/atom
Symmetry ... Pmn2_1 (31)

# TaCo2ReSi

An optimized crystal structure of TaCo2ReSi (PBE, Alexandria).

a = 4.4105 Å, b = 4.8963 Å, c = 4.4105 Å
α = 90.00°, β = 90.00°, γ = 90.00°
Last column: nearest neighbours and their distance in Å.
Sites, in units of the cell vectors:
Re: 0.0000 0.0000 0.0000  4 Co 2.21, 2 Ta 2.45
Si: 0.5000 0.5000 0.5000  4 Ta 3.12, 8 Co 3.29
Co: 0.0000 0.0000 0.5000  2 Re 2.21
Co: 0.5000 0.0000 0.0000  2 Re 2.21
Ta: 0.0000 0.5000 0.0000  2 Re 2.45

Calculated values
Total magnetization ... 1.68 Bohr magnetons per cell
Symmetry ... P4/mmm (123)
Total DFT energy (no corrections) ... -36.250 eV/cell

# Ba2PaIrO6

An optimized crystal structure of Ba2PaIrO6 (PBE, Alexandria).

a = 4.3281 Å, b = 4.3281 Å, c = 8.4698 Å
α = 90.00°, β = 90.00°, γ = 90.00°
Last column: nearest neighbours and their distance in Å.
Sites, in units of the cell vectors:
Ba: 0.0000 0.0000 0.7108  8 O 2.81-3.07
Ba: 0.0000 0.0000 0.2892  8 O 2.81-3.07
Pa: 0.5000 0.5000 0.0000  6 O 2.16
Ir: 0.5000 0.5000 0.5000  6 O 2.08-2.16
O: 0.5000 0.0000 0.0000  2 Pa 2.16
O: 0.5000 0.0000 0.5000  2 Ir 2.16
O: 0.0000 0.5000 0.0000  2 Pa 2.16
O: 0.0000 0.5000 0.5000  2 Ir 2.16
O: 0.5000 0.5000 0.7453  1 Ir 2.08, 1 Pa 2.16
O: 0.5000 0.5000 0.2547  1 Ir 2.08, 1 Pa 2.16

Calculated values
Total magnetization ... 0.51 Bohr magnetons per cell
Symmetry ... P4/mmm (123)
Total DFT energy (no corrections) ... -76.926 eV/cell

# GdDyTl2

An optimized crystal structure of GdDyTl2 (PBE, Alexandria).

a = 3.7555 Å, b = 3.7555 Å, c = 9.9404 Å
α = 79.11°, β = 79.11°, γ = 60.00°
Last column: nearest neighbours and their distance in Å.
Sites, in units of the cell vectors:
Tl: 0.2508 0.2508 0.2476  3 Dy 3.24, 3 Gd 3.27
Tl: 0.7492 0.7492 0.7524  3 Dy 3.24, 3 Gd 3.27
Gd: 0.5000 0.5000 0.5000  6 Tl 3.27
Dy: 0.0000 0.0000 0.0000  6 Tl 3.24

Calculated values
Total magnetization ... 7.13 Bohr magnetons per cell
Formation enthalpy at 0 K ... -0.2651 eV/atom
Symmetry ... R-3m (166)

# LiNdHoSi

An optimized crystal structure of LiNdHoSi (PBE, Alexandria).

a = 5.0483 Å, b = 5.0483 Å, c = 5.0483 Å
α = 60.00°, β = 60.00°, γ = 60.00°
Last column: nearest neighbours and their distance in Å.
Sites, in units of the cell vectors:
Si: 0.7500 0.7500 0.7500  4 Ho 3.09, 4 Nd 3.09
Nd: 0.0000 0.0000 0.0000  4 Si 3.09, 4 Li 3.09
Ho: 0.5000 0.5000 0.5000  4 Li 3.09, 4 Si 3.09
Li: 0.2500 0.2500 0.2500  4 Ho 3.09, 4 Nd 3.09

Calculated values
Total magnetization ... 0.00 Bohr magnetons per cell
Symmetry ... F-43m (216)
Total DFT energy (no corrections) ... -18.065 eV/cell

# K4NpNb3O12

An optimized crystal structure of K4NpNb3O12 (PBE, Alexandria).

a = 7.1304 Å, b = 7.1304 Å, c = 7.1304 Å
α = 109.47°, β = 109.47°, γ = 109.47°
Last column: nearest neighbours and their distance in Å.
Sites, in units of the cell vectors:
K: 0.5000 0.5000 0.5000  12 O 2.91
K: 0.0000 0.0000 0.5000  12 O 2.91
K: 0.5000 0.0000 0.0000  12 O 2.91
K: 0.0000 0.5000 0.0000  12 O 2.91
Np: 0.0000 0.0000 0.0000  6 O 2.11
Nb: 0.5000 0.0000 0.5000  6 O 2.00-2.06
Nb: 0.5000 0.5000 0.0000  6 O 2.00-2.06
Nb: 0.0000 0.5000 0.5000  6 O 2.00-2.06
O: 0.2500 0.5000 0.7500  2 Nb 2.06
O: 0.7432 0.0000 0.7432  1 Nb 2.00, 1 Np 2.11
O: 0.2568 0.0000 0.2568  1 Nb 2.00, 1 Np 2.11
O: 0.7500 0.5000 0.2500  2 Nb 2.06
O: 0.7432 0.7432 0.0000  1 Nb 2.00, 1 Np 2.11
O: 0.2568 0.2568 0.0000  1 Nb 2.00, 1 Np 2.11
O: 0.7500 0.2500 0.5000  2 Nb 2.06
O: 0.2500 0.7500 0.5000  2 Nb 2.06
O: 0.5000 0.2500 0.7500  2 Nb 2.06
O: 0.0000 0.7432 0.7432  1 Nb 2.00, 1 Np 2.11
O: 0.5000 0.7500 0.2500  2 Nb 2.06
O: 0.0000 0.2568 0.2568  1 Nb 2.00, 1 Np 2.11

Calculated values
Total magnetization ... 2.01 Bohr magnetons per cell
Symmetry ... Im-3m (229)
Total DFT energy (no corrections) ... -156.543 eV/cell